Entry 1:
This record from Alexandria describes a relaxed structure of VPd3N. The functional is PBE.

## Properties
E above lowest polymorph = 0 meV/atom
Calculated density = 8.9 g cm⁻³
SG = No. 221
VASP energy = -31.28 eV for the cell shown
ΔE_f (raw) = 0.35 eV/atom
Magnetic moment = 3.141 μB per formula unit

abc: 4.157 4.157 4.157
angles: 90.00 90.00 90.00
Fractional positions:
V (0.500, 0.500, 0.500)
Pd (0.000, 0.500, 0.000)
Pd (0.000, 0.000, 0.500)
Pd (0.500, 0.000, 0.000)
N (0.000, 0.000, 0.000)



Entry 2:
This record from Alexandria describes a relaxed structure of Ca3HfRh. The functional is PBE.

## Properties
E above lowest polymorph = 0 meV/atom
Calculated density = 4.3 g cm⁻³
SG = No. 221
VASP energy = -21.31 eV for the cell shown
Energy of formation from the pure elements = 2.00 eV per formula unit
Magnetic moment = 0.873 μB per formula unit

abc: 5.385 5.385 5.385
angles: 90.00 90.00 90.00
Fractional positions:
Rh (0.000, 0.000, 0.000)
Ca (0.000, 0.500, 0.000)
Ca (0.000, 0.000, 0.500)
Ca (0.500, 0.000, 0.000)
Hf (0.500, 0.500, 0.500)



Entry 3:
This record from Alexandria describes a relaxed structure of Mg3Sc2TaN6. The functional is PBE.

## Properties
Calculated density = 5.4 g cm⁻³
SG = No. 12
VASP energy = -94.00 eV for the cell shown
ΔE_f (raw) = -1.23 eV/atom
Magnetic moment = 0.000 μB per formula unit

abc: 5.468 5.468 5.411
angles: 99.76 99.76 119.98
Fractional positions:
Mg (0.168, 0.832, 0.500)
Mg (0.832, 0.168, 0.500)
Mg (0.500, 0.500, 0.500)
Sc (0.333, 0.667, 0.000)
Sc (0.667, 0.333, 0.000)
Ta (0.000, 0.000, 0.000)
N (0.921, 0.600, 0.762)
N (0.758, 0.758, 0.235)
N (0.079, 0.400, 0.238)
N (0.600, 0.921, 0.762)
N (0.242, 0.242, 0.765)
N (0.400, 0.079, 0.238)



Entry 4:
This record from Alexandria describes a relaxed structure of ThZn3Ni8. The functional is PBE.

## Properties
Calculated density = 9.2 g cm⁻³
SG = No. 156
VASP energy = -59.78 eV for the cell shown
Energy of formation from the pure elements = -2.29 eV per formula unit
Magnetic moment = 0.002 μB per formula unit

abc: 4.845 4.845 7.995
angles: 90.00 90.00 120.00
Fractional positions:
Th (0.000, 0.000, 0.574)
Zn (0.667, 0.333, 0.375)
Zn (0.667, 0.333, 0.043)
Zn (0.000, 0.000, 0.969)
Ni (0.333, 0.667, 0.501)
Ni (0.333, 0.667, 0.004)
Ni (0.502, 0.003, 0.765)
Ni (0.502, 0.498, 0.765)
Ni (0.997, 0.498, 0.765)
Ni (0.166, 0.331, 0.246)
Ni (0.166, 0.834, 0.246)
Ni (0.669, 0.834, 0.246)



Among the records above, which one has the highest magnetic moment? VPd3N



What is the magnetic moment in the first record? 3.141 μB per formula unit